Record 1
Below is a geometry-optimized Pm3HoTm2Sb6 structure, with properties calculated at the PBE-GGA level.

Output
- Formation energy from raw total energies: -13.58 eV per formula unit

Geometry as extended XYZ:
```
12
Lattice="4.422 0.000 0.000 0.000 8.829 0.325 -2.211 -2.531 9.290" Properties=species:S:1:pos:R:3 pbc="T T T"
Sb 2.211 4.140 9.490
Sb 2.211 4.242 3.329
Sb 0.000 6.342 6.521
Sb 2.211 -0.045 3.094
Sb 0.000 2.055 6.287
Sb 0.000 2.157 0.125
Pm 2.211 -0.215 6.252
Pm 0.000 6.513 3.363
Pm 2.211 4.414 0.163
Tm 2.211 4.198 6.409
Tm 0.000 2.099 3.206
Ho 2.211 0.000 0.000
```

---

Record 2
Below is a geometry-optimized Pm2Y3HoSb6 structure, with properties calculated at the PBE-GGA level.

Output
- Formation energy from raw total energies: -13.93 eV per formula unit

Geometry as extended XYZ:
```
12
Lattice="7.662 -0.002 0.001 -3.831 6.636 0.001 -1.278 -2.212 7.216" Properties=species:S:1:pos:R:3 pbc="T T T"
Sb 2.519 -0.003 1.827
Sb 3.815 2.241 5.391
Sb 0.034 4.424 5.391
Sb 2.573 4.455 1.842
Sb -0.019 -0.033 5.376
Sb -1.261 2.181 1.827
Pm 3.823 2.215 0.001
Pm 0.008 4.418 0.001
Ho 0.000 0.000 0.000
Y -2.531 4.410 3.609
Y 5.084 0.012 3.609
Y 1.277 2.211 3.609
```

---

Record 3
Below is a geometry-optimized Pm3YHo2Sb6 structure, with properties calculated at the PBE-GGA level.

Output
- Formation energy from raw total energies: -13.89 eV per formula unit

Geometry as extended XYZ:
```
12
Lattice="4.437 0.000 0.000 0.000 8.860 0.325 -2.219 -2.541 9.321" Properties=species:S:1:pos:R:3 pbc="T T T"
Sb 0.000 2.049 6.316
Sb 0.000 6.379 6.536
Sb 0.000 2.175 0.116
Sb 2.219 -0.060 3.110
Sb 2.219 4.270 3.330
Sb 2.219 4.143 9.531
Y 2.219 0.000 0.000
Pm 2.219 4.430 0.163
Pm 0.000 6.535 3.375
Pm 2.219 -0.216 6.271
Ho 0.000 2.104 3.216
Ho 2.219 4.214 6.430
```

---

Record 4
Below is a geometry-optimized PmHoZnSb structure, with properties calculated at the PBE-GGA level.

Output
- Formation energy from raw total energies: -2.15 eV per formula unit

Geometry as extended XYZ:
```
4
Lattice="5.254 0.000 0.000 2.627 4.550 0.000 2.627 1.517 4.290" Properties=species:S:1:pos:R:3 pbc="T T T"
Ho 7.881 4.550 3.217
Pm 2.627 1.517 1.072
Sb 5.254 3.033 2.145
Zn 0.000 0.000 0.000
```

---

Record 5
Below is a geometry-optimized Pm5Ho4Sc structure, with properties calculated at the PBE-GGA level.

Output
- Distance to the lowest polymorph of the same formula: 20 meV per atom

Geometry as extended XYZ:
```
10
Lattice="3.472 0.000 -0.705 0.054 11.411 0.264 -0.135 2.488 8.231" Properties=species:S:1:pos:R:3 pbc="T T T"
Ho 2.080 2.821 1.340
Ho 1.310 11.077 6.450
Ho 3.089 5.353 6.306
Ho 0.301 8.545 1.484
Sc 1.736 0.000 -0.353
Pm 2.747 2.404 4.626
Pm 1.763 5.705 -0.220
Pm 0.643 11.495 3.164
Pm 0.696 5.424 3.424
Pm 2.694 8.475 4.366
```

---

Record 6
Below is a geometry-optimized PmHo4Sc4 structure, with properties calculated at the PBE-GGA level.

Output
- Distance to the lowest polymorph of the same formula: 0 meV per atom

Geometry as extended XYZ:
```
9
Lattice="-4.492 -1.713 -0.264 -0.846 -3.508 -6.752 -0.036 -7.110 2.840" Properties=species:S:1:pos:R:3 pbc="T T T"
Sc -3.869 -9.375 -5.042
Sc -3.562 -3.474 -4.662
Sc -1.504 -2.955 0.865
Sc -1.812 -8.856 0.486
Ho -2.071 -7.683 -2.710
Ho -4.794 -7.636 -0.585
Ho -0.579 -4.694 -3.591
Ho -3.302 -4.647 -1.466
Pm 0.000 0.000 0.000
```

---

no.,DFT total energy (eV/atom)
1,-5.508
2,-6.012
3,-5.708
4,-4.218
5,-4.795
6,-5.322